No. 1
# NaTc2GePb | Alexandria via LeMat-Bulk | PBE-GGA | optimized geometry
data_NaTc2GePb
_space_group_name_H-M_alt 'P 4/m m m'
_space_group_IT_number 123
_space_group_name_Hall '-P 4 2'
_cell_length_a 5.401
_cell_length_b 5.401
_cell_length_c 5.276
_cell_angle_alpha 90.00
_cell_angle_beta 90.00
_cell_angle_gamma 90.00
loop_
_atom_site_label
_atom_site_fract_x
_atom_site_fract_y
_atom_site_fract_z
Na1 0.000 0.000 0.000
Tc1 0.000 0.500 0.500
Ge1 0.500 0.500 0.000
Pb1 0.000 0.000 0.500
# ρ	5.382	g cm⁻³
# crystal system	tetragonal
# calculated total energy	-4.280	eV/atom

***

No. 2
# LiWAu | Alexandria via LeMat-Bulk | PBE-GGA | optimized geometry
data_LiWAu
_space_group_name_H-M_alt 'P n m a'
_space_group_IT_number 62
_cell_length_a 4.637
_cell_length_b 4.679
_cell_length_c 8.600
_cell_angle_alpha 90.00
_cell_angle_beta 90.00
_cell_angle_gamma 90.00
loop_
_space_group_symop_operation_xyz
'x,y,z'
'-x,-y,-z'
'-x+1/2,-y,z+1/2'
'x+1/2,y,-z+1/2'
'x+1/2,-y+1/2,-z+1/2'
'-x+1/2,y+1/2,z+1/2'
'-x,y+1/2,-z'
'x,-y+1/2,z'
loop_
_atom_site_label
_atom_site_fract_x
_atom_site_fract_y
_atom_site_fract_z
Li1 0.159 0.250 0.011
W1 0.138 0.250 0.678
Au1 0.179 0.250 0.354
# ΔE to the lowest computed polymorph	122.7	meV/atom
# ρ	13.801	g cm⁻³
# crystal system	orthorhombic
# calculated total energy	-5.773	eV/atom

***

Quick rundown of magnetization, same order as above: 5.9; 0.0 μB/f.u.